The following is a PBE-GGA calculation of an optimized crystal structure of Pm2Ga4Co3Ru, from the Alexandria database.

Cell lengths 4.2565, 4.2565, 9.5351 Å; angles 90.00, 90.00, 90.00 degrees
Closest atoms and distances in Å follow each position.
Positions (direct):
Ga: 0.5000 0.0000 0.6307  3 Co 2.39-2.47, 2 Ru 2.47
Ga: 0.0000 0.0000 0.0000  4 Co 2.41
Ga: 0.0000 0.5000 0.3693  3 Co 2.39-2.47, 2 Ru 2.47
Ga: 0.5000 0.5000 0.0000  4 Co 2.41
Ru: 0.5000 0.5000 0.5000  4 Ga 2.47
Co: 0.5000 0.0000 0.8816  5 Ga 2.39-2.41
Co: 0.0000 0.5000 0.1184  5 Ga 2.39-2.41
Co: 0.0000 0.0000 0.5000  4 Ga 2.47
Pm: 0.5000 0.0000 0.2645  6 Co 3.09-3.32, 2 Ru 3.09, 8 Ga 3.17-3.30
Pm: 0.0000 0.5000 0.7355  6 Co 3.09-3.32, 2 Ru 3.09, 8 Ga 3.17-3.30

Computed properties:
The symmetry is P-4m2, No. 115. The calculation puts the formation energy from the elements at -0.383 eV/atom. The calculation puts the density of states at the Fermi level at 8.31 states/eV per cell. The value obtained for the total magnetization is 0.0 μB per formula unit.